The following is a DFT calculation (PBE) of Dy6TlCo2 after structural relaxation.

The structure belongs to space group Immm (No. 71); the cell edges are 9.435, 9.652 and 9.987 Å and the angles 90.00°, 90.00° and 90.00°. The asymmetric unit holds Dy at (0.000, 0.212, 0.230), Dy at (0.196, 0.500, 0.185), Dy at (0.211, 0.313, 0.500), Tl at (0.000, 0.000, 0.000), Tl at (0.000, 0.000, 0.500), Co at (0.000, 0.380, 0.000) and Co at (0.000, 0.500, 0.388).

The energy relative to the elements comes out at -0.239 eV per atom.